Ni5Rh at its PBEsol-relaxed geometry, computed with SCAN.

Structure (POSCAR):
```
Ni5Rh
1.0
2.517 0.000 0.000
0.000 3.503 0.000
0.000 0.000 7.485
Ni Rh
5 1
Cartesian
0.000 0.000 1.319
1.258 1.751 4.946
1.258 1.751 2.539
0.000 0.000 6.166
0.000 0.000 3.742
1.258 1.751 0.000
```

## Properties
Volume = 66 Å³/cell
Space-group type = Pmmm (47)
Formation enthalpy at 0 K = 0.02 eV/atom
Size of the total moment = 4.8 μB per cell